Entry 1:
Below is crystalline CsCd2RhPb at its relaxed geometry, with properties calculated at the PBE level.

Cell: 5.449 5.449 5.235 Å, 90.00 90.00 90.00°
Fractional coordinates of all 5 atoms:
Cs  0.000  0.000  0.000
Cd  0.000  0.500  0.500
Cd  0.500  0.000  0.500
Rh  0.500  0.500  0.500
Pb  0.500  0.500  0.000

Volume (Å³ per cell): 155.5
Formation enthalpy at 0 K (eV per atom): -0.109
Crystal system: tetragonal


Entry 2:
Below is crystalline CsCdSb2Pb at its relaxed geometry, with properties calculated at the PBE level.

Cell: 8.272 8.272 8.272 Å, 144.21 144.21 51.52°
Fractional coordinates of all 5 atoms:
Cs  0.000  0.000  0.000
Cd  0.250  0.750  0.500
Sb  0.364  0.364  0.000
Sb  0.636  0.636  0.000
Pb  0.750  0.250  0.500

Volume (Å³ per cell): 192.6
Crystal system: tetragonal
Uncorrected formation energy (eV/atom): -0.2241


Entry 3:
Below is crystalline Cs3Cd2Sb4Pb2 at its relaxed geometry, with properties calculated at the PBE level.

Cell: 5.093 5.093 21.151 Å, 90.00 90.00 120.00°
Fractional coordinates of all 11 atoms:
Cs  0.000  0.000  0.000
Cs  0.000  0.000  0.276
Cs  0.000  0.000  0.724
Cd  0.333  0.667  0.139
Cd  0.667  0.333  0.861
Sb  0.333  0.667  0.404
Sb  0.333  0.667  0.861
Sb  0.667  0.333  0.139
Sb  0.667  0.333  0.596
Pb  0.333  0.667  0.553
Pb  0.667  0.333  0.447

Volume (Å³ per cell): 475.1
Crystal system: trigonal
Uncorrected formation energy (eV/atom): -0.2947


Entry 4:
Below is crystalline Cs2CdSb2Pb at its relaxed geometry, with properties calculated at the PBE level.

Cell: 10.290 10.290 10.290 Å, 137.37 62.24 136.89°
Fractional coordinates of all 12 atoms:
Cs  0.171  0.245  0.416
Cs  0.329  0.745  0.074
Cs  0.671  0.255  0.926
Cs  0.829  0.755  0.584
Cd  0.250  0.750  0.500
Cd  0.750  0.250  0.500
Sb  0.094  0.727  0.822
Sb  0.406  0.227  0.633
Sb  0.594  0.773  0.367
Sb  0.906  0.273  0.178
Pb  0.250  0.250  0.000
Pb  0.750  0.750  0.000

Volume (Å³ per cell): 498.3
Crystal system: orthorhombic
Uncorrected formation energy (eV/atom): -0.3563


Entry 5:
Below is crystalline Cs2Cd2PbSe4 at its relaxed geometry, with properties calculated at the PBE level.

Cell: 8.771 8.771 8.547 Å, 108.11 108.11 29.70°
Fractional coordinates of all 9 atoms:
Cs  0.127  0.127  0.044
Cs  0.873  0.873  0.956
Cd  0.331  0.331  0.523
Cd  0.669  0.669  0.477
Pb  0.000  0.000  0.500
Se  0.204  0.204  0.671
Se  0.481  0.481  0.740
Se  0.519  0.519  0.260
Se  0.796  0.796  0.329

Volume (Å³ per cell): 308.4
Crystal system: monoclinic
Uncorrected formation energy (eV/atom): -0.8429


Entry 6:
Below is crystalline Cs2Cd3Sn4Pb at its relaxed geometry, with properties calculated at the PBE level.

Cell: 5.138 5.138 12.645 Å, 90.00 90.00 90.00°
Fractional coordinates of all 10 atoms:
Cs  0.000  0.500  0.249
Cs  0.500  0.000  0.751
Cd  0.000  0.000  0.000
Cd  0.000  0.500  0.631
Cd  0.500  0.000  0.369
Sn  0.000  0.000  0.500
Sn  0.000  0.500  0.866
Sn  0.500  0.000  0.134
Sn  0.500  0.500  0.500
Pb  0.500  0.500  0.000

Volume (Å³ per cell): 333.8
Formation enthalpy at 0 K (eV per atom): -0.133
Crystal system: tetragonal


Entry 7:
Below is crystalline Cs2Cd4SnPb3 at its relaxed geometry, with properties calculated at the PBE level.

Cell: 5.144 5.144 12.946 Å, 90.00 90.00 90.00°
Fractional coordinates of all 10 atoms:
Cs  0.000  0.500  0.248
Cs  0.500  0.000  0.752
Cd  0.000  0.000  0.000
Cd  0.000  0.500  0.634
Cd  0.500  0.000  0.366
Cd  0.500  0.500  0.000
Sn  0.000  0.000  0.500
Pb  0.000  0.500  0.870
Pb  0.500  0.000  0.130
Pb  0.500  0.500  0.500

Volume (Å³ per cell): 342.6
Formation enthalpy at 0 K (eV per atom): -0.090
Crystal system: tetragonal


Entry 8:
Below is crystalline Cs2Cd3SnPb4 at its relaxed geometry, with properties calculated at the PBE level.

Cell: 5.214 5.214 13.013 Å, 90.00 90.00 90.00°
Fractional coordinates of all 10 atoms:
Cs  0.000  0.500  0.244
Cs  0.500  0.000  0.756
Cd  0.000  0.000  0.000
Cd  0.000  0.500  0.632
Cd  0.500  0.000  0.368
Sn  0.500  0.500  0.000
Pb  0.000  0.000  0.500
Pb  0.000  0.500  0.868
Pb  0.500  0.000  0.132
Pb  0.500  0.500  0.500

Volume (Å³ per cell): 353.7
Formation enthalpy at 0 K (eV per atom): -0.102
Crystal system: tetragonal


Which value of volume does entry 5 give? 308.4 Å³ per cell


Look up the volume of the fifth one. 308.4 Å³ per cell


Please write out number 4 again, unchanged.
Below is crystalline Cs2CdSb2Pb at its relaxed geometry, with properties calculated at the PBE level.

Cell: 10.290 10.290 10.290 Å, 137.37 62.24 136.89°
Fractional coordinates of all 12 atoms:
Cs  0.171  0.245  0.416
Cs  0.329  0.745  0.074
Cs  0.671  0.255  0.926
Cs  0.829  0.755  0.584
Cd  0.250  0.750  0.500
Cd  0.750  0.250  0.500
Sb  0.094  0.727  0.822
Sb  0.406  0.227  0.633
Sb  0.594  0.773  0.367
Sb  0.906  0.273  0.178
Pb  0.250  0.250  0.000
Pb  0.750  0.750  0.000

Volume (Å³ per cell): 498.3
Crystal system: orthorhombic
Uncorrected formation energy (eV/atom): -0.3563